Entry 1:
{
  "formula": "La3Ga2CuO9",
  "functional": "PBE",
  "state": "relaxed",
  "lattice": [[5.519, 0.000, 0.000], [-2.760, 4.780, 0.000], [0.000, 0.000, 6.782]],
  "species": ["La", "La", "La", "Ga", "Ga", "Cu", "O", "O", "O", "O", "O", "O", "O", "O", "O"],
  "frac_coords": [[0.000, 0.000, 0.000], [0.333, 0.667, 0.655], [0.667, 0.333, 0.345], [0.333, 0.667, 0.162], [0.667, 0.333, 0.838], [0.000, 0.000, 0.500], [0.000, 0.500, 0.000], [0.169, 0.337, 0.335], [0.169, 0.831, 0.335], [0.337, 0.169, 0.665], [0.500, 0.000, 0.000], [0.500, 0.500, 0.000], [0.663, 0.831, 0.335], [0.831, 0.169, 0.665], [0.831, 0.663, 0.665]]
}


Entry 2:
{
  "formula": "Sr2LaGaCu2O7",
  "functional": "PBE",
  "state": "relaxed",
  "lattice": [[-11.685, 2.812, 2.744], [11.685, -2.812, 2.744], [11.685, 2.812, -2.744]],
  "species": ["Sr", "Sr", "Sr", "Sr", "La", "La", "Ga", "Ga", "Cu", "Cu", "Cu", "Cu", "O", "O", "O", "O", "O", "O", "O", "O", "O", "O", "O", "O", "O", "O"],
  "frac_coords": [[0.020, 0.153, 0.174], [0.020, 0.347, 0.367], [0.980, 0.653, 0.633], [0.980, 0.847, 0.826], [0.996, 0.496, 0.500], [0.996, 0.996, 0.000], [0.461, 0.781, 0.180], [0.601, 0.281, 0.820], [0.494, 0.573, 0.076], [0.494, 0.918, 0.421], [0.497, 0.073, 0.579], [0.497, 0.418, 0.924], [0.001, 0.628, 0.874], [0.414, 0.143, 0.628], [0.414, 0.287, 0.771], [0.495, 0.175, 0.180], [0.495, 0.815, 0.820], [0.499, 0.314, 0.319], [0.499, 0.680, 0.685], [0.515, 0.643, 0.229], [0.515, 0.787, 0.372], [0.754, 0.128, 0.126], [0.995, 0.180, 0.681], [0.995, 0.315, 0.820], [0.995, 0.675, 0.180], [0.995, 0.814, 0.315]]
}


| no. | M_tot (μB/f.u.) | formation energy (no corrections) (eV per atom) |
| --- | --- | --- |
| 1 | 0.00 | -2.36 |
| 2 | 0.00 | -2.11 |